Computed, not measured: Nb8Pb6O25 after structural relaxation at the PBE level of DFT.

Lattice parameters (Å, degrees): 7.654 7.654 10.605 90.14 90.14 90.89
Atoms (fractional coordinates):
1 Nb 0.118 0.118 0.374
2 Nb 0.118 0.622 0.875
3 Nb 0.371 0.375 0.120
4 Nb 0.378 0.882 0.125
5 Nb 0.618 0.120 0.374
6 Nb 0.625 0.629 0.880
7 Nb 0.880 0.382 0.626
8 Nb 0.882 0.882 0.626
9 Pb 0.132 0.633 0.366
10 Pb 0.361 0.372 0.634
11 Pb 0.367 0.868 0.634
12 Pb 0.628 0.639 0.366
13 Pb 0.657 0.140 0.887
14 Pb 0.860 0.343 0.113
15 O 0.081 0.798 0.745
16 O 0.083 0.298 0.503
17 O 0.083 0.917 0.500
18 O 0.085 0.432 0.742
19 O 0.199 0.427 0.999
20 O 0.202 0.919 0.255
21 O 0.206 0.290 0.249
22 O 0.215 0.785 0.000
23 O 0.376 0.624 0.500
24 O 0.387 0.607 0.198
25 O 0.389 0.114 0.445
26 O 0.393 0.613 0.802
27 O 0.397 0.113 0.064
28 O 0.568 0.915 0.258
29 O 0.573 0.427 0.000
30 O 0.573 0.801 0.001
31 O 0.581 0.295 0.246
32 O 0.702 0.917 0.497
33 O 0.705 0.295 0.500
34 O 0.705 0.419 0.754
35 O 0.710 0.794 0.751
36 O 0.883 0.112 0.687
37 O 0.886 0.611 0.555
38 O 0.887 0.603 0.936
39 O 0.888 0.117 0.313

## Properties
ρ = 6.38 g cm⁻³
formation energy from raw total energies = -2173 meV/atom
total energy = -311.50 eV/f.u.
crystal system = monoclinic

---

Computed, not measured: Nb3PbO after structural relaxation at the PBE level of DFT.

Lattice parameters (Å, degrees): 5.216 5.216 5.216 90.00 90.00 90.00
Atoms (fractional coordinates):
1 Nb 0.000 0.000 0.500
2 Nb 0.000 0.500 0.000
3 Nb 0.500 0.000 0.000
4 Pb 0.000 0.000 0.000
5 O 0.500 0.500 0.500

## Properties
ρ = 5.87 g cm⁻³
formation energy from raw total energies = 2596 meV/atom
total energy = -25.90 eV/f.u.
crystal system = cubic
polymorph energy (0 for the lowest one) = 3.120 eV/atom

---

Computed, not measured: Nb3PbO8 after structural relaxation at the PBE level of DFT.

Lattice parameters (Å, degrees): 7.062 7.062 7.611 108.73 108.73 32.08
Atoms (fractional coordinates):
1 Nb 0.000 0.000 0.000
2 Nb 0.063 0.063 0.537
3 Nb 0.776 0.776 0.542
4 Pb 0.707 0.707 0.973
5 O 0.019 0.019 0.269
6 O 0.105 0.105 0.856
7 O 0.237 0.237 0.582
8 O 0.526 0.526 0.009
9 O 0.614 0.614 0.576
10 O 0.724 0.724 0.293
11 O 0.861 0.861 0.855
12 O 0.924 0.924 0.547

## Properties
ρ = 5.36 g cm⁻³
formation energy from raw total energies = -2247 meV/atom
total energy = -100.55 eV/f.u.
crystal system = monoclinic

---

Computed, not measured: PmNbPb2O6 after structural relaxation at the PBE level of DFT.

Lattice parameters (Å, degrees): 5.949 6.054 10.361 90.00 124.98 90.00
Atoms (fractional coordinates):
1 Pm 0.000 0.000 0.000
2 Pm 0.000 0.500 0.500
3 Nb 0.500 0.000 0.500
4 Nb 0.500 0.500 0.000
5 Pb 0.244 0.031 0.750
6 Pb 0.244 0.469 0.250
7 Pb 0.756 0.531 0.750
8 Pb 0.756 0.969 0.250
9 O 0.176 0.185 0.453
10 O 0.176 0.315 0.953
11 O 0.274 0.720 0.453
12 O 0.274 0.780 0.953
13 O 0.362 0.024 0.269
14 O 0.362 0.476 0.769
15 O 0.638 0.524 0.231
16 O 0.638 0.976 0.731
17 O 0.726 0.220 0.047
18 O 0.726 0.280 0.547
19 O 0.824 0.685 0.047
20 O 0.824 0.815 0.547

## Properties
ρ = 8.13 g cm⁻³
formation energy from raw total energies = -2203 meV/atom
total energy = -74.02 eV/f.u.
crystal system = monoclinic

---

| no. | D(E_F) (states/eV/f.u.) |
| --- | --- |
| 1 | 0.66 |
| 2 | 7.69 |
| 3 | 2.89 |
| 4 | 0.00 |